# 1
# CsK2As2Pd3

Crystalline CsK2As2Pd3 at its relaxed geometry (PBE, OQMD).

Properties
calculated total energy: -31.2 eV for the cell shown
space-group type: R-3m

Unit cell a=7.945 b=7.945 c=7.945 alpha=43.44 beta=43.44 gamma=43.44
Positions (direct):
Cs  0.000  0.000  0.000
K  0.416  0.416  0.416
K  0.584  0.584  0.584
As  0.250  0.250  0.250
As  0.750  0.750  0.750
Pd  0.000  0.000  0.500
Pd  0.000  0.500  0.000
Pd  0.500  0.000  0.000

# 2
# CsK3As2Pd2

Crystalline CsK3As2Pd2 at its relaxed geometry (PBE, OQMD).

Properties
calculated total energy: -26.8 eV for the cell shown
space-group type: Pm

Unit cell a=6.437 b=5.974 c=6.546 alpha=90.00 beta=105.66 gamma=90.00
Positions (direct):
Cs  0.000  0.000  0.000
K  0.052  0.500  0.361
K  0.354  0.000  0.664
K  0.706  0.500  0.695
As  0.297  0.500  0.926
As  0.774  0.000  0.431
Pd  0.520  0.258  0.204
Pd  0.520  0.742  0.204

Question: calculated total energy of number 1 (CsK2As2Pd3)?
Answer: -31.2 eV for the cell shown